An optimized crystal structure of Nd2SmAg4Ge4. Source: OQMD via LeMat-Bulk, functional PBE.

## Properties
SG ... Immm
Magnetization ... 0.006 μB per cell
Calculated total energy ... -50.1 eV/cell

Geometry as extended XYZ:
```
11
Lattice="-1.134 -8.276 1.784 1.407 -3.002 7.872 -4.309 5.163 -5.266" Properties=species:S:1:pos:R:3 pbc="T T T"
Ag -1.477 -8.476 5.384
Ag -2.560 2.361 -0.994
Ag -1.568 -4.699 2.150
Ag -2.468 -1.416 2.240
Nd -1.350 -3.114 4.894
Nd -2.687 -3.001 -0.504
Sm 0.000 0.000 0.000
Ge 0.059 -2.437 2.087
Ge -3.177 0.094 0.199
Ge 0.214 -8.841 7.570
Ge -0.860 -6.208 4.191
```


An optimized crystal structure of NdSmAg2Ge2. Source: OQMD via LeMat-Bulk, functional PBE.

## Properties
SG ... P3m1
Magnetization ... 0.002 μB per cell
Calculated total energy ... -28.1 eV/cell

Geometry as extended XYZ:
```
6
Lattice="-1.096 4.295 -1.052 -3.125 -3.298 -0.341 -2.085 1.232 7.202" Properties=species:S:1:pos:R:3 pbc="T T T"
Ge -3.584 -0.096 3.342
Ge -1.877 1.826 -0.456
Sm -0.539 0.319 1.863
Ag -4.514 0.453 6.555
Ag -2.773 2.355 2.640
Nd -1.580 0.934 5.459
```


An optimized crystal structure of Nd3Ag4Sn2Ge2. Source: OQMD via LeMat-Bulk, functional PBE.

## Properties
SG ... Immm
Magnetization ... 0.011 μB per cell
Calculated total energy ... -48.6 eV/cell

Geometry as extended XYZ:
```
11
Lattice="-6.875 0.269 5.475 -5.630 6.750 -0.211 3.816 -6.880 -3.926" Properties=species:S:1:pos:R:3 pbc="T T T"
Nd -2.577 0.873 -1.366
Nd -6.112 -0.733 2.703
Nd -6.252 3.510 2.632
Sn -0.595 -1.285 0.301
Sn -2.465 -5.326 1.247
Ag -3.117 -0.805 1.392
Ag -5.573 0.944 -0.055
Ag -4.390 3.500 -0.653
Ag -4.299 -3.360 1.990
Ge -3.543 1.989 1.491
Ge -8.962 5.031 3.772
```


An optimized crystal structure of NiAg2Ge. Source: OQMD via LeMat-Bulk, functional PBE.

## Properties
SG ... F-43m
Magnetization ... 0.000 μB per cell
Calculated total energy ... -15.3 eV/cell

Geometry as extended XYZ:
```
4
Lattice="0.000 3.163 3.163 3.163 0.000 3.163 3.163 3.163 0.000" Properties=species:S:1:pos:R:3 pbc="T T T"
Ni 1.582 1.582 1.582
Ge 3.163 3.163 3.163
Ag 0.000 0.000 0.000
Ag 4.745 4.745 4.745
```